No. 1
Density functional theory data (PBE-GGA) for a relaxed structure of KBaTl2.

Values from the calculation:
The calculation puts the distance to the lowest polymorph of the same formula at 0.000 eV per atom. As for the calculated formation energy: -0.22 eV per atom.

Structure (CIF):
```
data_KBaTl2
_chemical_formula_sum 'K2 Ba2 Tl4'
_symmetry_space_group_name_H-M 'C 1 m 1'
_symmetry_Int_Tables_number 8
_cell_length_a 13.7788
_cell_length_b 4.1125
_cell_length_c 6.0838
_cell_angle_alpha 90.00
_cell_angle_beta 115.66
_cell_angle_gamma 90.00
loop_
_symmetry_equiv_pos_as_xyz
'x,y,z'
'x,-y,z'
'x+1/2,y+1/2,z'
'x+1/2,-y+1/2,z'
loop_
_atom_site_label
_atom_site_type_symbol
_atom_site_fract_x
_atom_site_fract_y
_atom_site_fract_z
K1 K 0.0000 0.0000 0.0000
Ba1 Ba 0.3010 0.5000 0.3041
Tl1 Tl 0.0457 0.5000 0.5447
Tl2 Tl 0.2375 0.0000 0.7427
```



No. 2
Density functional theory data (PBE-GGA) for a relaxed structure of BaHfGa.

Values from the calculation:
The calculation puts the distance to the lowest polymorph of the same formula at 0.063 eV per atom. As for the calculated formation energy: -0.15 eV per atom.

Structure (CIF):
```
data_BaHfGa
_chemical_formula_sum 'Ba4 Hf4 Ga4'
_symmetry_space_group_name_H-M 'I 4/m m m'
_symmetry_Int_Tables_number 139
_symmetry_space_group_name_Hall '-I 4 2'
_cell_length_a 4.4403
_cell_length_b 4.4403
_cell_length_c 19.3396
_cell_angle_alpha 90.00
_cell_angle_beta 90.00
_cell_angle_gamma 90.00
loop_
_atom_site_label
_atom_site_type_symbol
_atom_site_fract_x
_atom_site_fract_y
_atom_site_fract_z
Ba1 Ba 0.0000 0.0000 0.1652
Hf1 Hf 0.0000 0.5000 0.0000
Ga1 Ga 0.0000 0.0000 0.4066
```



No. 3
Density functional theory data (PBE-GGA) for a relaxed structure of RbMnPt.

Values from the calculation:
The calculation puts the distance to the lowest polymorph of the same formula at 0.189 eV per atom. As for the calculated formation energy: 0.22 eV per atom.

Structure (CIF):
```
data_RbMnPt
_chemical_formula_sum 'Rb2 Mn2 Pt2'
_symmetry_space_group_name_H-M 'P -1'
_symmetry_Int_Tables_number 2
_cell_length_a 4.6686
_cell_length_b 4.7145
_cell_length_c 9.9240
_cell_angle_alpha 92.68
_cell_angle_beta 91.61
_cell_angle_gamma 103.11
loop_
_symmetry_equiv_pos_as_xyz
'x,y,z'
'-x,-y,-z'
loop_
_atom_site_label
_atom_site_type_symbol
_atom_site_fract_x
_atom_site_fract_y
_atom_site_fract_z
Rb1 Rb 0.2236 0.2349 0.2892
Mn1 Mn 0.3347 0.3379 0.9445
Pt1 Pt 0.1938 0.8131 0.9999
```



No. 4
Density functional theory data (PBE-GGA) for a relaxed structure of BeOsAu2.

Values from the calculation:
As for the calculated formation energy: 0.25 eV per atom.

Structure (CIF):
```
data_BeOsAu2
_chemical_formula_sum 'Be2 Os2 Au4'
_symmetry_space_group_name_H-M 'A m m 2'
_symmetry_Int_Tables_number 38
_cell_length_a 3.1780
_cell_length_b 2.8968
_cell_length_c 12.9651
_cell_angle_alpha 90.00
_cell_angle_beta 90.00
_cell_angle_gamma 90.00
loop_
_symmetry_equiv_pos_as_xyz
'x,y,z'
'-x,-y,z'
'-x,y,z'
'x,-y,z'
'x,y+1/2,z+1/2'
'-x,-y+1/2,z+1/2'
'-x,y+1/2,z+1/2'
'x,-y+1/2,z+1/2'
loop_
_atom_site_label
_atom_site_type_symbol
_atom_site_fract_x
_atom_site_fract_y
_atom_site_fract_z
Be1 Be 0.0000 0.0000 0.0000
Os1 Os 0.5000 0.0000 0.5630
Au1 Au 0.0000 0.0000 0.2109
Au2 Au 0.5000 0.0000 0.8652
```



No. 5
Density functional theory data (PBE-GGA) for a relaxed structure of U2MnGe2.

Values from the calculation:
As for the calculated formation energy: -0.23 eV per atom.

Structure (CIF):
```
data_U2MnGe2
_chemical_formula_sum 'U8 Mn4 Ge8'
_symmetry_space_group_name_H-M 'C 1 2/m 1'
_symmetry_Int_Tables_number 12
_cell_length_a 10.4854
_cell_length_b 3.9337
_cell_length_c 9.0039
_cell_angle_alpha 90.00
_cell_angle_beta 101.80
_cell_angle_gamma 90.00
loop_
_symmetry_equiv_pos_as_xyz
'x,y,z'
'-x,-y,-z'
'-x,y,-z'
'x,-y,z'
'x+1/2,y+1/2,z'
'-x+1/2,-y+1/2,-z'
'-x+1/2,y+1/2,-z'
'x+1/2,-y+1/2,z'
loop_
_atom_site_label
_atom_site_type_symbol
_atom_site_fract_x
_atom_site_fract_y
_atom_site_fract_z
U1 U 0.0505 0.0000 0.3800
U2 U 0.1938 0.0000 0.0679
Mn1 Mn 0.2015 0.5000 0.2845
Ge1 Ge 0.0194 0.5000 0.8638
Ge2 Ge 0.1644 0.5000 0.6029
```



No. 6
Density functional theory data (PBE-GGA) for a relaxed structure of Rb2HgBr2Cl2.

Values from the calculation:
The formation energy from raw total energies is -1.2881 eV/atom.

Structure (CIF):
```
data_Rb2HgBr2Cl2
_chemical_formula_sum 'Rb4 Hg2 Br4 Cl4'
_symmetry_space_group_name_H-M 'I 4/m m m'
_symmetry_Int_Tables_number 139
_symmetry_space_group_name_Hall '-I 4 2'
_cell_length_a 5.4799
_cell_length_b 5.4799
_cell_length_c 16.8989
_cell_angle_alpha 90.00
_cell_angle_beta 90.00
_cell_angle_gamma 90.00
loop_
_atom_site_label
_atom_site_type_symbol
_atom_site_fract_x
_atom_site_fract_y
_atom_site_fract_z
Rb1 Rb 0.0000 0.0000 0.1304
Hg1 Hg 0.0000 0.0000 0.5000
Br1 Br 0.0000 0.0000 0.3376
Cl1 Cl 0.0000 0.5000 0.0000
```



Number 1: E_tot -2.15 eV per atom. Number 2: E_tot -5.11 eV per atom. Number 3: E_tot -5.17 eV per atom. Number 4: E_tot -5.13 eV per atom. Number 5: E_tot -8.43 eV per atom. Number 6: E_tot -2.61 eV per atom.